# 1
A relaxed structure of MgTaGaFe. Source: the Open Quantum Materials Database, functional PBE.

Computed properties:
energy above the lowest structure with this stoichiometry: 0.341 eV per atom
theoretical density: 8.8 Mg/m³
electronic total energy: -5.8293 eV per atom

The structure in CIF format:
```
data_MgTaGaFe
_cell_length_a 6.3030
_cell_length_b 6.3030
_cell_length_c 6.3030
_cell_angle_alpha 90.00
_cell_angle_beta 90.00
_cell_angle_gamma 90.00
_space_group_name_H-M_alt 'F -4 3 m'
_space_group_IT_number 216
_space_group_name_Hall 'F -4 2 3'
loop_
_atom_site_label
_atom_site_fract_x
_atom_site_fract_y
_atom_site_fract_z
Mg1 0.0000 0.0000 0.0000
Ta1 0.2500 0.2500 0.2500
Ga1 0.0000 0.0000 0.5000
Fe1 0.2500 0.2500 0.7500
```


# 2
A relaxed structure of MgGaFeTc. Source: the Open Quantum Materials Database, functional PBE.

Computed properties:
energy above the lowest structure with this stoichiometry: 0.000 eV per atom
theoretical density: 7.3 Mg/m³
electronic total energy: -5.6710 eV per atom

The structure in CIF format:
```
data_MgGaFeTc
_cell_length_a 6.0898
_cell_length_b 6.0898
_cell_length_c 6.0898
_cell_angle_alpha 90.00
_cell_angle_beta 90.00
_cell_angle_gamma 90.00
_space_group_name_H-M_alt 'F -4 3 m'
_space_group_IT_number 216
_space_group_name_Hall 'F -4 2 3'
loop_
_atom_site_label
_atom_site_fract_x
_atom_site_fract_y
_atom_site_fract_z
Mg1 0.0000 0.0000 0.0000
Ga1 0.2500 0.2500 0.2500
Fe1 0.0000 0.0000 0.5000
Tc1 0.2500 0.2500 0.7500
```


# 3
A relaxed structure of Ga2FeMo. Source: the Open Quantum Materials Database, functional PBE.

Computed properties:
theoretical density: 8.7 Mg/m³
electronic total energy: -6.1080 eV per atom

The structure in CIF format:
```
data_Ga2FeMo
_cell_length_a 6.0589
_cell_length_b 6.0589
_cell_length_c 6.0589
_cell_angle_alpha 90.00
_cell_angle_beta 90.00
_cell_angle_gamma 90.00
_space_group_name_H-M_alt 'F -4 3 m'
_space_group_IT_number 216
_space_group_name_Hall 'F -4 2 3'
loop_
_atom_site_label
_atom_site_fract_x
_atom_site_fract_y
_atom_site_fract_z
Ga1 0.0000 0.0000 0.0000
Ga2 0.2500 0.2500 0.2500
Fe1 0.2500 0.2500 0.7500
Mo1 0.0000 0.0000 0.5000
```


# 4
A relaxed structure of GaFeMo4N2. Source: the Open Quantum Materials Database, functional PBE.

Computed properties:
theoretical density: 8.9 Mg/m³
electronic total energy: -8.9380 eV per atom

The structure in CIF format:
```
data_GaFeMo4N2
_cell_length_a 2.8383
_cell_length_b 2.8383
_cell_length_c 14.3892
_cell_angle_alpha 90.00
_cell_angle_beta 90.00
_cell_angle_gamma 120.00
_space_group_name_H-M_alt 'P -6 m 2'
_space_group_IT_number 187
_space_group_name_Hall 'P -6 2'
loop_
_atom_site_label
_atom_site_fract_x
_atom_site_fract_y
_atom_site_fract_z
Ga1 0.0000 0.0000 0.0000
Fe1 0.3333 0.6667 0.5000
Mo1 0.0000 0.0000 0.3514
Mo2 0.3333 0.6667 0.1561
N1 0.6667 0.3333 0.2529
```


# 5
A relaxed structure of GaFeMoPt. Source: the Open Quantum Materials Database, functional PBE.

Computed properties:
energy above the lowest structure with this stoichiometry: 0.019 eV per atom
theoretical density: 11.8 Mg/m³
electronic total energy: -7.0620 eV per atom

The structure in CIF format:
```
data_GaFeMoPt
_cell_length_a 6.1647
_cell_length_b 6.1647
_cell_length_c 6.1647
_cell_angle_alpha 90.00
_cell_angle_beta 90.00
_cell_angle_gamma 90.00
_space_group_name_H-M_alt 'F -4 3 m'
_space_group_IT_number 216
_space_group_name_Hall 'F -4 2 3'
loop_
_atom_site_label
_atom_site_fract_x
_atom_site_fract_y
_atom_site_fract_z
Ga1 0.0000 0.0000 0.0000
Fe1 0.2500 0.2500 0.2500
Mo1 0.2500 0.2500 0.7500
Pt1 0.0000 0.0000 0.5000
```


# 6
A relaxed structure of GaFeMoPt. Source: the Open Quantum Materials Database, functional PBE.

Computed properties:
energy above the lowest structure with this stoichiometry: 0.000 eV per atom
theoretical density: 11.8 Mg/m³
electronic total energy: -7.0806 eV per atom

The structure in CIF format:
```
data_GaFeMoPt
_cell_length_a 6.1581
_cell_length_b 6.1581
_cell_length_c 6.1581
_cell_angle_alpha 90.00
_cell_angle_beta 90.00
_cell_angle_gamma 90.00
_space_group_name_H-M_alt 'F -4 3 m'
_space_group_IT_number 216
_space_group_name_Hall 'F -4 2 3'
loop_
_atom_site_label
_atom_site_fract_x
_atom_site_fract_y
_atom_site_fract_z
Ga1 0.0000 0.0000 0.0000
Fe1 0.2500 0.2500 0.2500
Mo1 0.0000 0.0000 0.5000
Pt1 0.2500 0.2500 0.7500
```


# 7
A relaxed structure of ScGaFeMo. Source: the Open Quantum Materials Database, functional PBE.

Computed properties:
energy above the lowest structure with this stoichiometry: 0.000 eV per atom
theoretical density: 7.4 Mg/m³
electronic total energy: -7.0512 eV per atom

The structure in CIF format:
```
data_ScGaFeMo
_cell_length_a 6.2077
_cell_length_b 6.2077
_cell_length_c 6.2077
_cell_angle_alpha 90.00
_cell_angle_beta 90.00
_cell_angle_gamma 90.00
_space_group_name_H-M_alt 'F -4 3 m'
_space_group_IT_number 216
_space_group_name_Hall 'F -4 2 3'
loop_
_atom_site_label
_atom_site_fract_x
_atom_site_fract_y
_atom_site_fract_z
Sc1 0.0000 0.0000 0.0000
Ga1 0.2500 0.2500 0.2500
Fe1 0.0000 0.0000 0.5000
Mo1 0.2500 0.2500 0.7500
```


# 8
A relaxed structure of TaGaFeMo. Source: the Open Quantum Materials Database, functional PBE.

Computed properties:
energy above the lowest structure with this stoichiometry: 0.000 eV per atom
theoretical density: 11.3 Mg/m³
electronic total energy: -8.5144 eV per atom

The structure in CIF format:
```
data_TaGaFeMo
_cell_length_a 6.1938
_cell_length_b 6.1938
_cell_length_c 6.1938
_cell_angle_alpha 90.00
_cell_angle_beta 90.00
_cell_angle_gamma 90.00
_space_group_name_H-M_alt 'F -4 3 m'
_space_group_IT_number 216
_space_group_name_Hall 'F -4 2 3'
loop_
_atom_site_label
_atom_site_fract_x
_atom_site_fract_y
_atom_site_fract_z
Ta1 0.0000 0.0000 0.0000
Ga1 0.0000 0.0000 0.5000
Fe1 0.2500 0.2500 0.7500
Mo1 0.2500 0.2500 0.2500
```


# 9
A relaxed structure of GaFeTcMo. Source: the Open Quantum Materials Database, functional PBE.

Computed properties:
energy above the lowest structure with this stoichiometry: 0.000 eV per atom
theoretical density: 9.6 Mg/m³
electronic total energy: -8.1975 eV per atom

The structure in CIF format:
```
data_GaFeTcMo
_cell_length_a 6.0375
_cell_length_b 6.0375
_cell_length_c 6.0375
_cell_angle_alpha 90.00
_cell_angle_beta 90.00
_cell_angle_gamma 90.00
_space_group_name_H-M_alt 'F -4 3 m'
_space_group_IT_number 216
_space_group_name_Hall 'F -4 2 3'
loop_
_atom_site_label
_atom_site_fract_x
_atom_site_fract_y
_atom_site_fract_z
Ga1 0.0000 0.0000 0.0000
Fe1 0.2500 0.2500 0.2500
Tc1 0.2500 0.2500 0.7500
Mo1 0.0000 0.0000 0.5000
```


# 10
A relaxed structure of Nb4GaFeN2. Source: the Open Quantum Materials Database, functional PBE.

Computed properties:
theoretical density: 7.8 Mg/m³
electronic total energy: -9.0689 eV per atom

The structure in CIF format:
```
data_Nb4GaFeN2
_cell_length_a 3.0994
_cell_length_b 3.0994
_cell_length_c 13.3612
_cell_angle_alpha 90.00
_cell_angle_beta 90.00
_cell_angle_gamma 120.00
_space_group_name_H-M_alt 'P -6 m 2'
_space_group_IT_number 187
_space_group_name_Hall 'P -6 2'
loop_
_atom_site_label
_atom_site_fract_x
_atom_site_fract_y
_atom_site_fract_z
Nb1 0.0000 0.0000 0.1495
Nb2 0.3333 0.6667 0.3348
Ga1 0.0000 0.0000 0.5000
Fe1 0.3333 0.6667 0.0000
N1 0.6667 0.3333 0.2414
```


# 11
A relaxed structure of GaFeW4N2. Source: the Open Quantum Materials Database, functional PBE.

Computed properties:
theoretical density: 14.7 Mg/m³
electronic total energy: -9.8373 eV per atom

The structure in CIF format:
```
data_GaFeW4N2
_cell_length_a 2.8221
_cell_length_b 2.8221
_cell_length_c 14.5854
_cell_angle_alpha 90.00
_cell_angle_beta 90.00
_cell_angle_gamma 120.00
_space_group_name_H-M_alt 'P -6 m 2'
_space_group_IT_number 187
_space_group_name_Hall 'P -6 2'
loop_
_atom_site_label
_atom_site_fract_x
_atom_site_fract_y
_atom_site_fract_z
Ga1 0.0000 0.0000 0.0000
Fe1 0.6667 0.3333 0.5000
W1 0.0000 0.0000 0.3550
W2 0.6667 0.3333 0.1547
N1 0.3333 0.6667 0.2530
```


# 12
A relaxed structure of NaGaFe. Source: the Open Quantum Materials Database, functional PBE.

Computed properties:
theoretical density: 4.0 Mg/m³
electronic total energy: -3.5770 eV per atom

The structure in CIF format:
```
data_NaGaFe
_cell_length_a 6.2572
_cell_length_b 6.2572
_cell_length_c 6.2572
_cell_angle_alpha 90.00
_cell_angle_beta 90.00
_cell_angle_gamma 90.00
_space_group_name_H-M_alt 'F -4 3 m'
_space_group_IT_number 216
_space_group_name_Hall 'F -4 2 3'
loop_
_atom_site_label
_atom_site_fract_x
_atom_site_fract_y
_atom_site_fract_z
Na1 0.0000 0.0000 0.0000
Ga1 0.0000 0.0000 0.5000
Fe1 0.2500 0.2500 0.7500
```


Q: Which of these has the lowest electronic total energy?
A: GaFeW4N2